[1]
An optimized crystal structure of K4Pu3SnSe8, computed with PBE-GGA.

## Properties
* raw formation energy: -1301 meV/atom

CIF file:
```
data_K4Pu3SnSe8
_chemical_formula_sum 'K12 Pu9 Sn3 Se24'
_symmetry_space_group_name_H-M 'R -3 m'
_symmetry_Int_Tables_number 166
_symmetry_space_group_name_Hall '-R 3 2"'
_cell_length_a 8.6291
_cell_length_b 8.6291
_cell_length_c 22.7330
_cell_angle_alpha 90.00
_cell_angle_beta 90.00
_cell_angle_gamma 120.00
loop_
_atom_site_label
_atom_site_fract_x
_atom_site_fract_y
_atom_site_fract_z
_atom_site_occupancy
K1 0.0000 0.0000 0.0000 1
K2 0.0000 0.5000 0.0000 1
Pu1 0.0000 0.5000 0.5000 1
Sn1 0.0000 0.0000 0.5000 1
Se1 0.0000 0.0000 0.2346 1
Se2 0.0112 0.5056 0.7656 1
```


[2]
An optimized crystal structure of CsKBa2Cd, computed with PBE-GGA.

## Properties
* excess energy over the best structure of this formula in the dataset: 0 meV per atom
* DFT formation energy: 0.0254 eV/atom

CIF file:
```
data_CsKBa2Cd
_chemical_formula_sum 'Cs1 K1 Ba2 Cd1'
_symmetry_space_group_name_H-M 'P 4/m m m'
_symmetry_Int_Tables_number 123
_symmetry_space_group_name_Hall '-P 4 2'
_cell_length_a 6.885
_cell_length_b 6.885
_cell_length_c 7.249
_cell_angle_alpha 90.00
_cell_angle_beta 90.00
_cell_angle_gamma 90.00
loop_
_atom_site_label
_atom_site_fract_x
_atom_site_fract_y
_atom_site_fract_z
_atom_site_occupancy
Cs1 0.000 0.000 0.000 1
K1 0.500 0.500 0.000 1
Ba1 0.000 0.500 0.500 1
Cd1 0.500 0.500 0.500 1
```